# TbPuW | OQMD via LeMat-Bulk | PBE-GGA | optimized geometry
# - energy of formation (eV/atom) = 0.757
# - M_tot (μB per formula unit) = 4.5
data_TbPuW
_space_group_name_H-M_alt 'P 1'
_space_group_IT_number 1
_space_group_name_Hall 'P 1'
_cell_length_a 4.7228
_cell_length_b 4.7228
_cell_length_c 4.7228
_cell_angle_alpha 60.00
_cell_angle_beta 60.00
_cell_angle_gamma 60.00
loop_
_atom_site_label
_atom_site_fract_x
_atom_site_fract_y
_atom_site_fract_z
_atom_site_occupancy
Pu1 0.0000 0.0000 0.0000 1
Tb1 0.5000 0.5000 0.5000 1
W1 0.2500 0.2500 0.2500 1